(1)
# BaAlAs2 GGA-PBEsol relaxed
data_BaAlAs2
_chemical_formula_sum 'Ba1 Al1 As2'
_space_group_name_H-M_alt 'P 4/m m m'
_space_group_IT_number 123
_space_group_name_Hall '-P 4 2'
_cell_length_a 3.735
_cell_length_b 3.735
_cell_length_c 6.705
_cell_angle_alpha 90.00
_cell_angle_beta 90.00
_cell_angle_gamma 90.00
loop_
_atom_site_label
_atom_site_type_symbol
_atom_site_fract_x
_atom_site_fract_y
_atom_site_fract_z
_atom_site_occupancy
Ba1 Ba 0.000 0.000 0.000 1
Al1 Al 0.000 0.000 0.500 1
As1 As 0.500 0.500 0.314 1
# **Total energy**: -4.46 eV/atom
# **DFT formation energy**: -33.5 kJ/mol of atoms



(2)
# BeCuSeBr2 GGA-PBEsol relaxed
data_BeCuSeBr2
_chemical_formula_sum 'Be1 Cu1 Se1 Br2'
_space_group_name_H-M_alt 'P 4/m m m'
_space_group_IT_number 123
_space_group_name_Hall '-P 4 2'
_cell_length_a 4.712
_cell_length_b 4.712
_cell_length_c 4.583
_cell_angle_alpha 90.00
_cell_angle_beta 90.00
_cell_angle_gamma 90.00
loop_
_atom_site_label
_atom_site_type_symbol
_atom_site_fract_x
_atom_site_fract_y
_atom_site_fract_z
_atom_site_occupancy
Be1 Be 0.000 0.000 0.000 1
Cu1 Cu 0.500 0.500 0.500 1
Se1 Se 0.000 0.000 0.500 1
Br1 Br 0.000 0.500 0.000 1
# **Total energy**: -2.89 eV/atom
# **ΔE_f (raw)**: 6.76 kcal/mol of atoms



(3)
# HfBeGe GGA-PBEsol relaxed
data_HfBeGe
_chemical_formula_sum 'Hf1 Be1 Ge1'
_space_group_name_H-M_alt 'P -6 m 2'
_space_group_IT_number 187
_space_group_name_Hall 'P -6 2'
_cell_length_a 3.7375
_cell_length_b 3.7375
_cell_length_c 3.5624
_cell_angle_alpha 90.00
_cell_angle_beta 90.00
_cell_angle_gamma 120.00
loop_
_atom_site_label
_atom_site_type_symbol
_atom_site_fract_x
_atom_site_fract_y
_atom_site_fract_z
_atom_site_occupancy
Hf1 Hf 0.0000 0.0000 0.0000 1
Be1 Be 0.6667 0.3333 0.5000 1
Ge1 Ge 0.3333 0.6667 0.5000 1
# **Total energy**: -7.08 eV/atom
# **DFT formation energy**: -57.4 kJ/mol of atoms



(4)
# Sr5Al9 GGA-PBEsol relaxed
data_Sr5Al9
_chemical_formula_sum 'Sr15 Al27'
_space_group_name_H-M_alt 'R -3 m'
_space_group_IT_number 166
_space_group_name_Hall '-R 3 2"'
_cell_length_a 5.8030
_cell_length_b 5.8030
_cell_length_c 35.3542
_cell_angle_alpha 90.00
_cell_angle_beta 90.00
_cell_angle_gamma 120.00
loop_
_atom_site_label
_atom_site_type_symbol
_atom_site_fract_x
_atom_site_fract_y
_atom_site_fract_z
_atom_site_occupancy
Sr1 Sr 0.0000 0.0000 0.0000 1
Sr2 Sr 0.0000 0.0000 0.1836 1
Sr3 Sr 0.0000 0.0000 0.2831 1
Al1 Al 0.0000 0.0000 0.3751 1
Al2 Al 0.0000 0.0000 0.5000 1
Al3 Al 0.0075 0.5037 0.7675 1
# **Total energy**: -3.55 eV/atom
# **DFT formation energy**: -25.5 kJ/mol of atoms



What did the third record say?
# HfBeGe GGA-PBEsol relaxed
data_HfBeGe
_chemical_formula_sum 'Hf1 Be1 Ge1'
_space_group_name_H-M_alt 'P -6 m 2'
_space_group_IT_number 187
_space_group_name_Hall 'P -6 2'
_cell_length_a 3.7375
_cell_length_b 3.7375
_cell_length_c 3.5624
_cell_angle_alpha 90.00
_cell_angle_beta 90.00
_cell_angle_gamma 120.00
loop_
_atom_site_label
_atom_site_type_symbol
_atom_site_fract_x
_atom_site_fract_y
_atom_site_fract_z
_atom_site_occupancy
Hf1 Hf 0.0000 0.0000 0.0000 1
Be1 Be 0.6667 0.3333 0.5000 1
Ge1 Ge 0.3333 0.6667 0.5000 1
# **Total energy**: -7.08 eV/atom
# **DFT formation energy**: -57.4 kJ/mol of atoms



Question: What is the total energy in the first record?
Answer: -4.46 eV/atom



Question: Which value of total energy does entry 3 give?
Answer: -7.08 eV/atom